# CeHo2InC (GGA-PBE, optimized geometry)
data_CeHo2InC
_chemical_formula_sum 'Ce1 Ho2 In1 C1'
_cell_length_a 4.937
_cell_length_b 4.937
_cell_length_c 4.900
_cell_angle_alpha 90.00
_cell_angle_beta 90.00
_cell_angle_gamma 90.00
_space_group_name_H-M_alt 'P 4/m m m'
_space_group_IT_number 123
_space_group_name_Hall '-P 4 2'
loop_
_atom_site_label
_atom_site_fract_x
_atom_site_fract_y
_atom_site_fract_z
Ce1 0.000 0.000 0.000
Ho1 0.000 0.500 0.500
In1 0.500 0.500 0.000
C1 0.000 0.000 0.500
# DFT total energy	-5.84	eV/atom
# calculated formation energy	-0.43	eV per atom
# total moment	0.4	μB/cell
# calculated density	8.299	Mg/m³

# Ce2HoMo2C4 (GGA-PBE, optimized geometry)
data_Ce2HoMo2C4
_chemical_formula_sum 'Ce4 Ho2 Mo4 C8'
_cell_length_a 13.853
_cell_length_b 3.460
_cell_length_c 6.040
_cell_angle_alpha 90.00
_cell_angle_beta 107.06
_cell_angle_gamma 90.00
_space_group_name_H-M_alt 'C 1 2/m 1'
_space_group_IT_number 12
_space_group_name_Hall '-C 2y'
loop_
_atom_site_label
_atom_site_fract_x
_atom_site_fract_y
_atom_site_fract_z
Ce1 0.129 0.000 0.028
Ho1 0.000 0.000 0.500
Mo1 0.178 0.500 0.509
C1 0.046 0.500 0.255
C2 0.226 0.000 0.719
# DFT total energy	-8.40	eV/atom
# calculated formation energy	-0.07	eV per atom
# total moment	0.0	μB/cell
# calculated density	8.220	Mg/m³

# CeHo2PbC (GGA-PBE, optimized geometry)
data_CeHo2PbC
_chemical_formula_sum 'Ce1 Ho2 Pb1 C1'
_cell_length_a 4.932
_cell_length_b 4.932
_cell_length_c 4.943
_cell_angle_alpha 90.00
_cell_angle_beta 90.00
_cell_angle_gamma 90.00
_space_group_name_H-M_alt 'P 4/m m m'
_space_group_IT_number 123
_space_group_name_Hall '-P 4 2'
loop_
_atom_site_label
_atom_site_fract_x
_atom_site_fract_y
_atom_site_fract_z
Ce1 0.000 0.000 0.000
Ho1 0.000 0.500 0.500
Pb1 0.500 0.500 0.000
C1 0.000 0.000 0.500
# DFT total energy	-6.06	eV/atom
# calculated formation energy	-0.46	eV per atom
# total moment	0.6	μB/cell
# calculated density	9.519	Mg/m³

# CeHoCS (GGA-PBE, optimized geometry)
data_CeHoCS
_chemical_formula_sum 'Ce3 Ho3 C3 S3'
_cell_length_a 3.7490
_cell_length_b 3.7490
_cell_length_c 19.1395
_cell_angle_alpha 90.00
_cell_angle_beta 90.00
_cell_angle_gamma 120.00
_space_group_name_H-M_alt 'R 3 m'
_space_group_IT_number 160
_space_group_name_Hall 'R 3 -2"'
loop_
_atom_site_label
_atom_site_fract_x
_atom_site_fract_y
_atom_site_fract_z
Ce1 0.0000 0.0000 0.0000
Ho1 0.0000 0.0000 0.4769
C1 0.0000 0.0000 0.7358
S1 0.0000 0.0000 0.2338
# DFT total energy	-7.18	eV/atom
# total moment	0.8	μB/cell
# formation energy (no corrections)	-1213	meV per atom
# calculated density	7.466	Mg/m³

# Ce2Ho2Sb2C (GGA-PBE, optimized geometry)
data_Ce2Ho2Sb2C
_chemical_formula_sum 'Ce4 Ho4 Sb4 C2'
_cell_length_a 4.799
_cell_length_b 4.799
_cell_length_c 16.209
_cell_angle_alpha 90.00
_cell_angle_beta 90.00
_cell_angle_gamma 90.00
_space_group_name_H-M_alt 'I 4/m m m'
_space_group_IT_number 139
_space_group_name_Hall '-I 4 2'
loop_
_atom_site_label
_atom_site_fract_x
_atom_site_fract_y
_atom_site_fract_z
Ce1 0.000 0.000 0.161
Ho1 0.000 0.500 0.000
Sb1 0.000 0.000 0.364
C1 0.000 0.000 0.000
# DFT total energy	-6.28	eV/atom
# total moment	6.7	μB/cell
# formation energy (no corrections)	-782	meV per atom
# calculated density	7.702	Mg/m³

# Ce2HoSiC (GGA-PBE, optimized geometry)
data_Ce2HoSiC
_chemical_formula_sum 'Ce8 Ho4 Si4 C4'
_cell_length_a 3.593
_cell_length_b 14.403
_cell_length_c 8.356
_cell_angle_alpha 90.00
_cell_angle_beta 90.00
_cell_angle_gamma 90.00
_space_group_name_H-M_alt 'C m c m'
_space_group_IT_number 63
_space_group_name_Hall '-C 2c 2'
loop_
_atom_site_label
_atom_site_fract_x
_atom_site_fract_y
_atom_site_fract_z
Ce1 0.000 0.154 0.083
Ho1 0.000 0.459 0.250
Si1 0.000 0.209 0.750
C1 0.000 0.000 0.000
# DFT total energy	-6.38	eV/atom
# total moment	0.0	μB/cell
# formation energy (no corrections)	-162	meV per atom
# calculated density	7.455	Mg/m³

What is the formula in the first record? CeHo2InC

Among the records above, which one has the highest total moment? Ce2Ho2Sb2C

The lowest calculated density belongs to which entry? Ce2HoSiC

Look up the DFT total energy of the sixth one. -6.38 eV/atom